First-principles (PBE) data for crystalline LaAl2Te at its relaxed geometry, as listed in Alexandria via LeMat-Bulk.

The structure in CIF format:
```
data_LaAl2Te
_chemical_formula_sum 'La1 Al2 Te1'
_cell_length_a 5.255
_cell_length_b 5.255
_cell_length_c 5.255
_cell_angle_alpha 60.00
_cell_angle_beta 60.00
_cell_angle_gamma 60.00
_symmetry_space_group_name_H-M 'P 1'
_symmetry_Int_Tables_number 1
loop_
_symmetry_equiv_pos_as_xyz
'x,y,z'
loop_
_atom_site_label
_atom_site_type_symbol
_atom_site_fract_x
_atom_site_fract_y
_atom_site_fract_z
La1 La 0.500 0.500 0.500
Al1 Al 0.000 0.000 0.000
Al2 Al 0.250 0.250 0.250
Te1 Te 0.750 0.750 0.750
```

M_tot: 0.00 μB per formula unit
E: -4.15 eV/atom
Symmetry: F-43m, No. 216
Formation energy without anion corrections: -0.263 eV/atom
Density of states at the Fermi level: 2.958 states/eV/f.u.
Crystal system: cubic